[1]
Computed, not measured: a geometry-optimized MnCuRh2I structure at the PBE level of DFT.

The structure in POSCAR format:
```
MnCuRh2I
1.0
4.842 0.000 0.000
0.000 4.849 0.000
0.000 0.000 4.842
I Mn Rh Cu
1 1 2 1
direct
0.000 0.000 0.000
0.000 0.500 0.000
0.000 0.000 0.500
0.500 0.000 0.000
0.500 0.500 0.500
```

Results
Spin magnetization, Bohr magnetons per cell: 4.05
Symmetry: No. 123
ΔE_f (raw), eV/atom: 1.2826
Fermi-level density of states, states/eV per atom: 0.67

---

[2]
Computed, not measured: a geometry-optimized MnCuSbI2 structure at the PBE level of DFT.

The structure in POSCAR format:
```
MnCuSbI2
1.0
5.375 0.000 0.000
0.000 5.375 0.000
0.000 0.000 5.243
I Sb Mn Cu
2 1 1 1
direct
0.000 0.500 0.000
0.500 0.000 0.000
0.000 0.000 0.500
0.500 0.500 0.500
0.000 0.000 0.000
```

Results
Spin magnetization, Bohr magnetons per cell: 4.34
Excess energy over the best structure of this formula in the dataset, meV per atom: 25
Symmetry: No. 123
ΔE_f (raw), eV/atom: 0.6394
Fermi-level density of states, states/eV per atom: 0.80

---

[3]
Computed, not measured: a geometry-optimized MnCuSbI2 structure at the PBE level of DFT.

The structure in POSCAR format:
```
MnCuSbI2
1.0
5.527 0.000 0.000
0.000 5.527 0.000
0.000 0.000 5.173
I Sb Mn Cu
2 1 1 1
direct
0.000 0.500 0.000
0.500 0.000 0.000
0.000 0.000 0.500
0.000 0.000 0.000
0.500 0.500 0.500
```

Results
Spin magnetization, Bohr magnetons per cell: 3.04
Excess energy over the best structure of this formula in the dataset, meV per atom: 0
Symmetry: No. 123
ΔE_f (raw), eV/atom: 0.6144
Fermi-level density of states, states/eV per atom: 0.58

---

[4]
Computed, not measured: a geometry-optimized MnCu2SiI structure at the PBE level of DFT.

The structure in POSCAR format:
```
MnCu2SiI
1.0
-3.483 -1.712 -2.618
-2.240 -1.822 4.171
-2.348 4.020 0.495
I Si Mn Cu
1 1 1 2
direct
0.000 0.500 0.000
0.500 0.500 0.500
0.000 0.000 0.000
0.000 0.000 0.500
0.500 0.000 0.000
```

Results
Spin magnetization, Bohr magnetons per cell: 3.46
Symmetry: No. 123
ΔE_f (raw), eV/atom: 1.1761
Fermi-level density of states, states/eV per atom: 0.87

---

[5]
Computed, not measured: a geometry-optimized MnCuTe2I structure at the PBE level of DFT.

The structure in POSCAR format:
```
MnCuTe2I
1.0
-2.479 -3.891 2.395
4.440 -1.410 2.306
-1.107 3.235 4.110
I Mn Te Cu
1 1 2 1
direct
0.000 0.000 0.500
0.500 0.500 0.500
0.000 0.500 0.000
0.500 0.000 0.000
0.000 0.000 0.000
```

Results
Spin magnetization, Bohr magnetons per cell: 5.03
Excess energy over the best structure of this formula in the dataset, meV per atom: 0
Symmetry: No. 123
ΔE_f (raw), eV/atom: 0.5789
Fermi-level density of states, states/eV per atom: 0.68

---

[6]
Computed, not measured: a geometry-optimized MnCuTe2I structure at the PBE level of DFT.

The structure in POSCAR format:
```
MnCuTe2I
1.0
-3.204 -2.678 2.505
-0.777 -2.755 -3.939
4.298 -3.588 1.661
I Mn Te Cu
1 1 2 1
direct
0.000 0.000 0.500
0.000 0.000 0.000
0.000 0.500 0.000
0.500 0.000 0.000
0.500 0.500 0.500
```

Results
Spin magnetization, Bohr magnetons per cell: 0.00
Excess energy over the best structure of this formula in the dataset, meV per atom: 117
Symmetry: No. 123
ΔE_f (raw), eV/atom: 0.6963
Fermi-level density of states, states/eV per atom: 0.62

---

[7]
Computed, not measured: a geometry-optimized MnTlCuI5 structure at the PBE level of DFT.

The structure in POSCAR format:
```
MnTlCuI5
1.0
-7.418 -2.915 -0.413
1.694 0.485 7.784
-1.088 10.117 -2.987
Mn Tl Cu I
2 2 2 10
direct
0.000 0.000 0.500
0.000 0.000 0.000
0.348 0.652 0.250
0.652 0.348 0.750
0.693 0.307 0.250
0.307 0.693 0.750
0.071 0.929 0.250
0.929 0.071 0.750
0.902 0.308 0.098
0.098 0.692 0.902
0.692 0.098 0.402
0.308 0.902 0.598
0.765 0.628 0.433
0.235 0.372 0.567
0.372 0.235 0.067
0.628 0.765 0.933
```

Results
Spin magnetization, Bohr magnetons per cell: 7.95
Symmetry: No. 15
ΔE_f (raw), eV/atom: -0.3437
Fermi-level density of states, states/eV per atom: 0.36

---

[8]
Computed, not measured: a geometry-optimized MnTlCuI6 structure at the PBE level of DFT.

The structure in POSCAR format:
```
MnTlCuI6
1.0
7.481 0.000 0.000
0.000 7.255 0.000
0.000 -3.627 6.283
Mn Tl Cu I
1 1 1 6
direct
0.500 0.667 0.333
0.000 0.333 0.667
0.500 0.000 0.000
0.714 0.707 0.664
0.714 0.336 0.043
0.714 0.957 0.293
0.286 0.336 0.293
0.286 0.707 0.043
0.286 0.957 0.664
```

Results
Spin magnetization, Bohr magnetons per cell: 3.20
Symmetry: No. 149
ΔE_f (raw), eV/atom: -0.2743
Fermi-level density of states, states/eV per atom: 0.80

---

[9]
Computed, not measured: a geometry-optimized MnTlCu2I6 structure at the PBE level of DFT.

The structure in POSCAR format:
```
MnTlCu2I6
1.0
8.454 0.128 0.133
2.868 9.849 0.330
2.868 -0.035 9.854
Mn Tl Cu I
2 2 4 12
direct
0.250 0.188 0.812
0.750 0.812 0.188
0.250 0.844 0.156
0.750 0.156 0.844
0.314 0.746 0.638
0.186 0.362 0.254
0.686 0.254 0.362
0.814 0.638 0.746
0.174 0.949 0.815
0.326 0.185 0.051
0.826 0.051 0.185
0.674 0.815 0.949
0.466 0.850 0.393
0.034 0.607 0.150
0.534 0.150 0.607
0.966 0.393 0.850
0.056 0.716 0.572
0.444 0.428 0.284
0.944 0.284 0.428
0.556 0.572 0.716
```

Results
Spin magnetization, Bohr magnetons per cell: 7.81
Symmetry: No. 15
ΔE_f (raw), eV/atom: -0.2834
Fermi-level density of states, states/eV per atom: 0.68

---

[10]
Computed, not measured: a geometry-optimized Cu2MoI8 structure at the PBE level of DFT.

The structure in POSCAR format:
```
Cu2MoI8
1.0
-0.321 -6.298 -1.790
4.562 -2.485 6.588
-3.892 -2.200 7.100
I Mo Cu
8 1 2
direct
0.243 0.836 0.303
0.243 0.303 0.836
0.757 0.164 0.697
0.240 0.333 0.333
0.757 0.697 0.164
0.232 0.836 0.836
0.768 0.164 0.164
0.760 0.667 0.667
0.000 0.000 0.000
0.626 0.833 0.833
0.374 0.167 0.167
```

Results
Spin magnetization, Bohr magnetons per cell: 0.34
Symmetry: No. 12
ΔE_f (raw), eV/atom: -0.0815
Fermi-level density of states, states/eV per atom: 0.84

---

[11]
Computed, not measured: a geometry-optimized CuMoI3 structure at the PBE level of DFT.

The structure in POSCAR format:
```
CuMoI3
1.0
-4.069 3.915 -0.092
-1.633 -1.818 -5.091
-3.559 -3.642 2.442
I Mo Cu
3 1 1
direct
0.000 0.500 0.000
0.000 0.000 0.500
0.500 0.000 0.000
0.000 0.000 0.000
0.500 0.500 0.500
```

Results
Spin magnetization, Bohr magnetons per cell: 3.54
Excess energy over the best structure of this formula in the dataset, meV per atom: 0
Symmetry: No. 221
ΔE_f (raw), eV/atom: 0.6753
Fermi-level density of states, states/eV per atom: 0.55

---

[12]
Computed, not measured: a geometry-optimized CuMoI3 structure at the PBE level of DFT.

The structure in POSCAR format:
```
CuMoI3
1.0
5.424 0.000 0.000
0.000 5.424 0.000
0.000 0.000 5.424
I Mo Cu
3 1 1
direct
0.000 0.500 0.000
0.000 0.000 0.500
0.500 0.000 0.000
0.500 0.500 0.500
0.000 0.000 0.000
```

Results
Spin magnetization, Bohr magnetons per cell: 4.61
Excess energy over the best structure of this formula in the dataset, meV per atom: 165
Symmetry: No. 221
ΔE_f (raw), eV/atom: 0.8399
Fermi-level density of states, states/eV per atom: 1.83